Ba2DyOsSe6: optimized geometry, PBE.

The space group is I4/m (No. 87) and the conventional cell measures 7.210, 7.210 and 10.756 Å, with angles of 90.00, 90.00 and 90.00 degrees. The distinct sites, in fractional coordinates, are Ba at (0.000, 0.500, 0.250), Dy at (0.000, 0.000, 0.000), Os at (0.000, 0.000, 0.500), Se at (0.000, 0.000, 0.264) and Se at (0.176, 0.298, 0.500).

The total magnetization is 2.736 μB/f.u. The volume is 27.96 Å³ per atom. The value obtained for the electronic total energy is -5.187 eV/atom.